Entry from Alexandria via LeMat-Bulk: an optimized crystal structure of CsTl4Cd2Ag (PBE).

Values from the calculation:
DFT formation energy ... -0.0029 eV per atom
Density of states at the Fermi level ... 3.586 states/eV/f.u.
Density ... 8.07 Mg/m³
Calculated total energy ... -15.023 eV/cell

Cell: 11.834 11.834 11.834 Å, 25.18 25.18 25.18°
Element x y z (fractional)
Cs 0.000 0.000 0.000
Tl 0.135 0.135 0.135
Tl 0.410 0.410 0.410
Tl 0.590 0.590 0.590
Tl 0.865 0.865 0.865
Cd 0.235 0.235 0.235
Cd 0.765 0.765 0.765
Ag 0.500 0.500 0.500

Entry from Alexandria via LeMat-Bulk: an optimized crystal structure of SmDy2Ho2Er2 (PBE).

Values from the calculation:
DFT formation energy ... 0.0192 eV per atom
Density of states at the Fermi level ... 9.340 states/eV/f.u.
Density ... 8.65 Mg/m³
Calculated total energy ... -32.071 eV/cell

Cell: 6.120 6.120 7.911 Å, 97.43 97.43 48.25°
Element x y z (fractional)
Sm 0.000 0.000 0.000
Dy 0.143 0.143 0.429
Dy 0.857 0.857 0.571
Ho 0.428 0.428 0.286
Ho 0.572 0.572 0.714
Er 0.286 0.286 0.857
Er 0.714 0.714 0.143

Entry from Alexandria via LeMat-Bulk: an optimized crystal structure of Li2CuNi (PBE).

Values from the calculation:
DFT formation energy ... 0.0217 eV per atom
Density of states at the Fermi level ... 2.190 states/eV/f.u.
Density ... 4.28 Mg/m³
Calculated total energy ... -13.618 eV/cell

Cell: 2.580 2.580 7.927 Å, 90.00 90.00 90.00°
Element x y z (fractional)
Li 0.000 0.000 0.000
Li 0.500 0.500 0.317
Cu 0.500 0.500 0.759
Ni 0.000 0.000 0.545

Entry from Alexandria via LeMat-Bulk: an optimized crystal structure of CdOsF6 (PBE).

Values from the calculation:
Energy relative to the elements, uncorrected ... -1.733 eV/atom
Density of states at the Fermi level ... 0.730 states/eV/f.u.
Density ... 5.49 Mg/m³
Calculated total energy ... -37.236 eV/cell

Cell: 4.769 4.769 6.400 Å, 110.01 110.01 93.03°
Element x y z (fractional)
Cd 0.000 0.000 0.000
Os 0.000 0.000 0.500
F 0.054 0.692 0.221
F 0.267 0.267 0.451
F 0.308 0.946 0.779
F 0.692 0.054 0.221
F 0.733 0.733 0.549
F 0.946 0.308 0.779

Entry from Alexandria via LeMat-Bulk: an optimized crystal structure of Na2NiCl5 (PBE).

Values from the calculation:
Energy relative to the elements, uncorrected ... -1.101 eV/atom
Density of states at the Fermi level ... 1.144 states/eV/f.u.
Density ... 2.30 Mg/m³
Calculated total energy ... -52.920 eV/cell

Cell: 6.983 6.983 12.033 Å, 90.00 90.00 135.97°
Element x y z (fractional)
Na 0.161 0.839 0.580
Na 0.161 0.839 0.920
Na 0.839 0.161 0.080
Na 0.839 0.161 0.420
Ni 0.178 0.822 0.250
Ni 0.822 0.178 0.750
Cl 0.057 0.943 0.121
Cl 0.057 0.943 0.379
Cl 0.299 0.701 0.118
Cl 0.299 0.701 0.382
Cl 0.313 0.687 0.750
Cl 0.687 0.313 0.250
Cl 0.701 0.299 0.618
Cl 0.701 0.299 0.882
Cl 0.943 0.057 0.621
Cl 0.943 0.057 0.879

Entry from Alexandria via LeMat-Bulk: an optimized crystal structure of TiAgN2 (PBE).

Values from the calculation:
Energy relative to the elements, uncorrected ... 0.589 eV/atom
Density of states at the Fermi level ... 3.631 states/eV/f.u.
Density ... 7.24 Mg/m³
Calculated total energy ... -25.041 eV/cell

Cell: 3.906 3.906 3.906 Å, 60.00 60.00 60.00°
Element x y z (fractional)
Ti 0.000 0.000 0.000
Ag 0.500 0.500 0.500
N 0.250 0.250 0.250
N 0.750 0.750 0.750

Q: Which of these has the highest density?
A: SmDy2Ho2Er2